# 1
Here is Dy2HoMg3TlGa2 after structural relaxation from OQMD via LeMat-Bulk. Energies are from GGA-PBE.

The structure belongs to space group Amm2 (No. 38); the cell edges are 4.540, 12.685 and 7.334 Å and the angles 90.00°, 90.00° and 90.00°. The distinct sites, in fractional coordinates, are Dy at (0.000, 0.218, 0.000), Ho at (0.000, 0.000, 0.344), Mg at (0.500, 0.000, 0.032), Mg at (0.500, 0.125, 0.656), Tl at (0.000, 0.000, 0.781) and Ga at (0.500, 0.166, 0.281).

The crystal system is orthorhombic. The final energy is -3.420 eV/atom.

=====

# 2
Here is TaCdCuNi after structural relaxation from OQMD via LeMat-Bulk. Energies are from GGA-PBE.

The structure belongs to space group F-43m (No. 216); the cell edges are 6.229, 6.229 and 6.229 Å and the angles 90.00°, 90.00° and 90.00°. The distinct sites, in fractional coordinates, are Ta at (0.000, 0.000, 0.000), Cd at (0.250, 0.250, 0.250), Cu at (0.000, 0.000, 0.500) and Ni at (0.250, 0.250, 0.750).

The crystal system is cubic. The calculation puts the energy relative to the elements at 279 meV per atom. The energy above the most stable polymorph in this dataset is 218.2 meV/atom.

=====

no.,magnetic moment (Bohr magnetons per cell)
1,0.0
2,0.0